No. 1
Material: MgOsSN2
Method: DFT, PBE-GGA
State: relaxed

Values from the calculation:
calculated density	6.43	g cm⁻³
formation energy (no corrections)	9.79	eV per formula unit
V	71	Å³/cell

```
data_MgOsSN2
_symmetry_space_group_name_H-M 'P 4/m m m'
_symmetry_Int_Tables_number 123
_symmetry_space_group_name_Hall '-P 4 2'
_cell_length_a 3.857
_cell_length_b 3.857
_cell_length_c 4.765
_cell_angle_alpha 90.00
_cell_angle_beta 90.00
_cell_angle_gamma 90.00
loop_
_atom_site_label
_atom_site_type_symbol
_atom_site_fract_x
_atom_site_fract_y
_atom_site_fract_z
Mg1 Mg 0.000 0.000 0.000
Os1 Os 0.500 0.500 0.500
S1 S 0.000 0.000 0.500
N1 N 0.000 0.500 0.000
```

=====

No. 2
Material: MgOsSN2
Method: DFT, PBE-GGA
State: relaxed

Values from the calculation:
calculated density	6.12	g cm⁻³
formation energy (no corrections)	0.77	eV per formula unit
V	75	Å³/cell

```
data_MgOsSN2
_symmetry_space_group_name_H-M 'P 4/m m m'
_symmetry_Int_Tables_number 123
_symmetry_space_group_name_Hall '-P 4 2'
_cell_length_a 3.781
_cell_length_b 3.781
_cell_length_c 5.213
_cell_angle_alpha 90.00
_cell_angle_beta 90.00
_cell_angle_gamma 90.00
loop_
_atom_site_label
_atom_site_type_symbol
_atom_site_fract_x
_atom_site_fract_y
_atom_site_fract_z
Mg1 Mg 0.000 0.000 0.000
Os1 Os 0.500 0.500 0.500
S1 S 0.500 0.500 0.000
N1 N 0.000 0.500 0.500
```

=====

No. 3
Material: MgOsSe2N
Method: DFT, PBE-GGA
State: relaxed

Values from the calculation:
calculated density	6.96	g cm⁻³
formation energy (no corrections)	7.23	eV per formula unit
V	92	Å³/cell

```
data_MgOsSe2N
_symmetry_space_group_name_H-M 'P 4/m m m'
_symmetry_Int_Tables_number 123
_symmetry_space_group_name_Hall '-P 4 2'
_cell_length_a 4.977
_cell_length_b 4.977
_cell_length_c 3.723
_cell_angle_alpha 90.00
_cell_angle_beta 90.00
_cell_angle_gamma 90.00
loop_
_atom_site_label
_atom_site_type_symbol
_atom_site_fract_x
_atom_site_fract_y
_atom_site_fract_z
Mg1 Mg 0.000 0.000 0.000
Os1 Os 0.500 0.500 0.500
Se1 Se 0.000 0.500 0.000
N1 N 0.000 0.000 0.500
```

=====

No. 4
Material: MgOsSe2N
Method: DFT, PBE-GGA
State: relaxed

Values from the calculation:
calculated density	6.54	g cm⁻³
formation energy (no corrections)	0.44	eV per formula unit
V	98	Å³/cell

```
data_MgOsSe2N
_symmetry_space_group_name_H-M 'P 4/m m m'
_symmetry_Int_Tables_number 123
_symmetry_space_group_name_Hall '-P 4 2'
_cell_length_a 5.167
_cell_length_b 5.167
_cell_length_c 3.675
_cell_angle_alpha 90.00
_cell_angle_beta 90.00
_cell_angle_gamma 90.00
loop_
_atom_site_label
_atom_site_type_symbol
_atom_site_fract_x
_atom_site_fract_y
_atom_site_fract_z
Mg1 Mg 0.000 0.000 0.000
Os1 Os 0.500 0.500 0.500
Se1 Se 0.000 0.500 0.500
N1 N 0.500 0.500 0.000
```

=====

No. 5
Material: MgSi2OsN
Method: DFT, PBE-GGA
State: relaxed

Values from the calculation:
calculated density	4.80	g cm⁻³
formation energy (no corrections)	13.85	eV per formula unit
V	99	Å³/cell

```
data_MgSi2OsN
_symmetry_space_group_name_H-M 'P 4/m m m'
_symmetry_Int_Tables_number 123
_symmetry_space_group_name_Hall '-P 4 2'
_cell_length_a 4.651
_cell_length_b 4.651
_cell_length_c 4.554
_cell_angle_alpha 90.00
_cell_angle_beta 90.00
_cell_angle_gamma 90.00
loop_
_atom_site_label
_atom_site_type_symbol
_atom_site_fract_x
_atom_site_fract_y
_atom_site_fract_z
Mg1 Mg 0.000 0.000 0.000
Si1 Si 0.000 0.500 0.000
Os1 Os 0.000 0.000 0.500
N1 N 0.500 0.500 0.500
```

=====

No. 6
Material: SmMg2OsN4
Method: DFT, PBE-GGA
State: relaxed

Values from the calculation:
calculated density	7.20	g cm⁻³
formation energy (no corrections)	-3.15	eV per formula unit
V	410	Å³/cell

```
data_SmMg2OsN4
_symmetry_space_group_name_H-M 'C m c m'
_symmetry_Int_Tables_number 63
_symmetry_space_group_name_Hall '-C 2c 2'
_cell_length_a 3.350
_cell_length_b 11.292
_cell_length_c 10.852
_cell_angle_alpha 90.00
_cell_angle_beta 90.00
_cell_angle_gamma 90.00
loop_
_atom_site_label
_atom_site_type_symbol
_atom_site_fract_x
_atom_site_fract_y
_atom_site_fract_z
Sm1 Sm 0.000 0.107 0.250
Mg1 Mg 0.000 0.381 0.028
Os1 Os 0.000 0.157 0.750
N1 N 0.000 0.000 0.000
N2 N 0.000 0.272 0.625
N3 N 0.000 0.432 0.250
```

=====

No. 7
Material: SrMg2OsN4
Method: DFT, PBE-GGA
State: relaxed

Values from the calculation:
calculated density	5.26	g cm⁻³
formation energy (no corrections)	-3.07	eV per formula unit
V	242	Å³/cell

```
data_SrMg2OsN4
_symmetry_space_group_name_H-M 'P m n 21'
_symmetry_Int_Tables_number 31
_cell_length_a 7.400
_cell_length_b 5.840
_cell_length_c 5.591
_cell_angle_alpha 90.00
_cell_angle_beta 90.00
_cell_angle_gamma 90.00
loop_
_symmetry_equiv_pos_as_xyz
'x,y,z'
'-x+1/2,-y,z+1/2'
'-x,y,z'
'x+1/2,-y,z+1/2'
loop_
_atom_site_label
_atom_site_type_symbol
_atom_site_fract_x
_atom_site_fract_y
_atom_site_fract_z
Sr1 Sr 0.000 0.173 0.000
Mg1 Mg 0.246 0.330 0.513
Os1 Os 0.000 0.807 0.523
N1 N 0.000 0.130 0.476
N2 N 0.000 0.760 0.855
N3 N 0.200 0.663 0.383
```

=====

No. 8
Material: Sr2MgOsN
Method: DFT, PBE-GGA
State: relaxed

Values from the calculation:
calculated density	5.75	g cm⁻³
formation energy (no corrections)	-1.08	eV per formula unit
V	117	Å³/cell

```
data_Sr2MgOsN
_symmetry_space_group_name_H-M 'P 4/m m m'
_symmetry_Int_Tables_number 123
_symmetry_space_group_name_Hall '-P 4 2'
_cell_length_a 5.506
_cell_length_b 5.506
_cell_length_c 3.847
_cell_angle_alpha 90.00
_cell_angle_beta 90.00
_cell_angle_gamma 90.00
loop_
_atom_site_label
_atom_site_type_symbol
_atom_site_fract_x
_atom_site_fract_y
_atom_site_fract_z
Sr1 Sr 0.000 0.500 0.000
Mg1 Mg 0.000 0.000 0.500
Os1 Os 0.500 0.500 0.500
N1 N 0.500 0.500 0.000
```

=====

No. 9
Material: Sr2MgOsN4
Method: DFT, PBE-GGA
State: relaxed

Values from the calculation:
calculated density	5.26	g cm⁻³
formation energy (no corrections)	-1.03	eV per formula unit
V	1127	Å³/cell

```
data_Sr2MgOsN4
_symmetry_space_group_name_H-M 'F d d d'
_symmetry_Int_Tables_number 70
_cell_length_a 5.190
_cell_length_b 11.593
_cell_length_c 18.726
_cell_angle_alpha 90.00
_cell_angle_beta 90.00
_cell_angle_gamma 90.00
loop_
_symmetry_equiv_pos_as_xyz
'x,y,z'
'-x,-y,-z'
'-x+1/4,-y+1/4,z'
'x+1/4,y+1/4,-z'
'x,-y+1/4,-z+1/4'
'-x,y+1/4,z+1/4'
'-x+1/4,y,-z+1/4'
'x+1/4,-y,z+1/4'
'x,y+1/2,z+1/2'
'-x,-y+1/2,-z+1/2'
'-x+1/4,-y+3/4,z+1/2'
'x+1/4,y+3/4,-z+1/2'
'x,-y+3/4,-z+3/4'
'-x,y+3/4,z+3/4'
'-x+1/4,y+1/2,-z+3/4'
'x+1/4,-y+1/2,z+3/4'
'x+1/2,y,z+1/2'
'-x+1/2,-y,-z+1/2'
'-x+3/4,-y+1/4,z+1/2'
'x+3/4,y+1/4,-z+1/2'
'x+1/2,-y+1/4,-z+3/4'
'-x+1/2,y+1/4,z+3/4'
'-x+3/4,y,-z+3/4'
'x+3/4,-y,z+3/4'
'x+1/2,y+1/2,z'
'-x+1/2,-y+1/2,-z'
'-x+3/4,-y+3/4,z'
'x+3/4,y+3/4,-z'
'x+1/2,-y+3/4,-z+1/4'
'-x+1/2,y+3/4,z+1/4'
'-x+3/4,y+1/2,-z+1/4'
'x+3/4,-y+1/2,z+1/4'
loop_
_atom_site_label
_atom_site_type_symbol
_atom_site_fract_x
_atom_site_fract_y
_atom_site_fract_z
Sr1 Sr 0.125 0.125 0.306
Mg1 Mg 0.125 0.125 0.125
Os1 Os 0.125 0.125 0.625
N1 N 0.106 0.270 0.832
```

=====

No. 10
Material: MgTcOs2N
Method: DFT, PBE-GGA
State: relaxed

Values from the calculation:
calculated density	9.70	g cm⁻³
formation energy (no corrections)	17.87	eV per formula unit
V	89	Å³/cell

```
data_MgTcOs2N
_symmetry_space_group_name_H-M 'P 4/m m m'
_symmetry_Int_Tables_number 123
_symmetry_space_group_name_Hall '-P 4 2'
_cell_length_a 4.449
_cell_length_b 4.449
_cell_length_c 4.472
_cell_angle_alpha 90.00
_cell_angle_beta 90.00
_cell_angle_gamma 90.00
loop_
_atom_site_label
_atom_site_type_symbol
_atom_site_fract_x
_atom_site_fract_y
_atom_site_fract_z
Mg1 Mg 0.000 0.000 0.000
Tc1 Tc 0.000 0.000 0.500
Os1 Os 0.000 0.500 0.000
N1 N 0.500 0.500 0.500
```

=====

No. 11
Material: MgTe2OsN
Method: DFT, PBE-GGA
State: relaxed

Values from the calculation:
calculated density	7.50	g cm⁻³
formation energy (no corrections)	7.22	eV per formula unit
V	107	Å³/cell

```
data_MgTe2OsN
_symmetry_space_group_name_H-M 'P 4/m m m'
_symmetry_Int_Tables_number 123
_symmetry_space_group_name_Hall '-P 4 2'
_cell_length_a 5.362
_cell_length_b 5.362
_cell_length_c 3.725
_cell_angle_alpha 90.00
_cell_angle_beta 90.00
_cell_angle_gamma 90.00
loop_
_atom_site_label
_atom_site_type_symbol
_atom_site_fract_x
_atom_site_fract_y
_atom_site_fract_z
Mg1 Mg 0.000 0.000 0.000
Te1 Te 0.000 0.500 0.000
Os1 Os 0.500 0.500 0.500
N1 N 0.000 0.000 0.500
```

=====

No. 12
Material: MgTe2OsN
Method: DFT, PBE-GGA
State: relaxed

Values from the calculation:
calculated density	7.09	g cm⁻³
formation energy (no corrections)	0.70	eV per formula unit
V	113	Å³/cell

```
data_MgTe2OsN
_symmetry_space_group_name_H-M 'P 4/m m m'
_symmetry_Int_Tables_number 123
_symmetry_space_group_name_Hall '-P 4 2'
_cell_length_a 5.550
_cell_length_b 5.550
_cell_length_c 3.678
_cell_angle_alpha 90.00
_cell_angle_beta 90.00
_cell_angle_gamma 90.00
loop_
_atom_site_label
_atom_site_type_symbol
_atom_site_fract_x
_atom_site_fract_y
_atom_site_fract_z
Mg1 Mg 0.000 0.000 0.000
Te1 Te 0.000 0.500 0.500
Os1 Os 0.500 0.500 0.500
N1 N 0.500 0.500 0.000
```